DFT (GGA-PBE) results for crystalline DyEr2Mg3ZnIn2 at its relaxed geometry.

Cell lengths 4.5450, 12.9440, 7.4300 Å; angles 90.00, 90.00, 90.00 degrees
Last column: nearest neighbours and their distance in Å.
Space group Amm2 (No. 38)
One atom of each set of equivalent atoms:
Dy  0.0000  0.0000  0.0000 [2 per cell]  1 Zn 3.11, 4 In 3.20, 2 Mg 3.44
Er  0.0000  0.2080  0.3761 [4 per cell]  1 Zn 3.10, 4 In 3.19, 2 Mg 3.45
Mg  0.5000  0.0000  0.3473 [2 per cell]  2 Zn 2.86, 2 In 2.92, 2 Mg 3.04
Mg  0.5000  0.1178  0.7013 [4 per cell]  2 Zn 2.88, 2 In 2.91-2.92, 2 Mg 3.04-3.05
Zn  0.0000  0.0000  0.5817 [2 per cell]  6 Mg 2.86-2.88, 2 Er 3.10, 1 Dy 3.11
In  0.5000  0.1674  0.0840 [4 per cell]  3 Mg 2.91-2.92, 4 Er 3.19, 2 Dy 3.20

Values from the calculation:
VASP energy	-3.14	eV per atom
spin magnetization	0.00	μB/f.u.
volume	24.28	Å³ per atom